First-principles (PBE with a Hubbard U) data for crystalline MoWO2F at its relaxed geometry, as listed in Alexandria.

Results
Its energy is -6.333 eV per atom. For the volume, the calculation gives 14.4 Å³ per atom. The calculated density is 7.6 Mg/m³.

Unit cell a=4.090 b=4.090 c=4.304 alpha=90.00 beta=90.00 gamma=90.00
Last column: magnetic moment on the atom in μB.
Fractional positions:
O (0.500, 0.000, 0.000)  0.06
O (0.000, 0.500, 0.000)  0.06
F (0.000, 0.000, 0.500)  0.07
Mo (0.500, 0.500, 0.500)  4.25
W (0.000, 0.000, 0.000)  1.93